Record 1
A plane-wave DFT calculation with PBE was carried out for a geometry-optimized CuP2CO structure.

abc: 4.5291 4.5291 3.4803
angles: 90.00 90.00 90.00
Closest atoms and distances in Å follow each position.
Positions (direct):
1 P 0.0000 0.5000 0.0000  2 Cu 2.26
2 P 0.5000 0.0000 0.0000  2 Cu 2.26
3 C 0.5000 0.5000 0.5000  8 P 2.86
4 O 0.0000 0.0000 0.5000  2 Cu 1.74
5 Cu 0.0000 0.0000 0.0000  2 O 1.74

Output
**Formation energy (no corrections)**: 165 kJ/mol of atoms
**VASP energy**: -20.56 eV/cell
**Calculated volume**: 14.28 Å³ per atom


Record 2
A plane-wave DFT calculation with PBE was carried out for a geometry-optimized Pa3CdC structure.

abc: 4.8094 4.8094 4.8094
angles: 90.00 90.00 90.00
Closest atoms and distances in Å follow each position.
Positions (direct):
1 C 0.0000 0.0000 0.0000  6 Pa 2.40
2 Pa 0.0000 0.5000 0.0000  2 C 2.40
3 Pa 0.0000 0.0000 0.5000  2 C 2.40
4 Pa 0.5000 0.0000 0.0000  2 C 2.40
5 Cd 0.5000 0.5000 0.5000  12 Pa 3.40

Output
**Energy of formation from the pure elements**: -0.46 eV/f.u.
**VASP energy**: -39.09 eV/cell
**Calculated volume**: 22.25 Å³ per atom


Record 3
A plane-wave DFT calculation with PBE was carried out for a geometry-optimized ScH2Pd3 structure.

abc: 3.8103 6.5868 6.4954
angles: 105.73 107.06 90.00
Closest atoms and distances in Å follow each position.
Positions (direct):
1 Sc 0.3612 0.0149 0.7224  1 H 2.26
2 Sc 0.6388 0.9851 0.2776  1 H 2.26
3 H 0.2551 0.6737 0.5102  3 Pd 1.83-1.93
4 H 0.7449 0.3263 0.4898  3 Pd 1.83-1.93
5 H 0.9656 0.7260 0.9313  3 Pd 1.89-1.94
6 H 0.0344 0.2740 0.0687  3 Pd 1.89-1.94
7 Pd 0.2203 0.3077 0.4405  2 H 1.93
8 Pd 0.1091 0.6807 0.2182  2 H 1.83-1.89
9 Pd 0.4431 0.6779 0.8862  2 H 1.94
10 Pd 0.7797 0.6923 0.5595  2 H 1.93
11 Pd 0.5569 0.3221 0.1138  2 H 1.94
12 Pd 0.8909 0.3193 0.7818  2 H 1.83-1.89

Output
**VASP energy**: -62.31 eV/cell
**Calculated volume**: 12.45 Å³ per atom


Record 4
A plane-wave DFT calculation with PBE was carried out for a geometry-optimized Li2Mg2PPt4 structure.

abc: 5.8268 5.8268 5.8268
angles: 92.81 118.39 118.39
Closest atoms and distances in Å follow each position.
Positions (direct):
1 Li 0.0000 0.7093 0.7093  1 P 2.34, 4 Pt 2.59
2 Li 0.0000 0.2907 0.2907  1 P 2.34, 4 Pt 2.59
3 Mg 0.5000 0.7500 0.2500  8 Pt 2.92, 4 Li 3.00
4 Mg 0.5000 0.2500 0.7500  8 Pt 2.92, 4 Li 3.00
5 P 0.0000 0.0000 0.0000  4 Pt 2.25, 2 Li 2.34
6 Pt 0.0000 0.7337 0.2663  1 P 2.25
7 Pt 0.4675 0.7337 0.7337  1 P 2.25
8 Pt 0.0000 0.2663 0.7337  1 P 2.25
9 Pt 0.5325 0.2663 0.2663  1 P 2.25

Output
**Energy of formation from the pure elements**: -5.68 eV/f.u.
**VASP energy**: -42.27 eV/cell
**Calculated volume**: 15.90 Å³ per atom


Record 5
A plane-wave DFT calculation with PBE was carried out for a geometry-optimized SrNbCu3 structure.

abc: 4.8855 4.8855 4.8855
angles: 90.00 90.00 90.00
Closest atoms and distances in Å follow each position.
Positions (direct):
1 Sr 0.0000 0.0000 0.0000  6 Cu 2.44
2 Nb 0.5000 0.5000 0.5000  12 Cu 3.45
3 Cu 0.0000 0.5000 0.0000  2 Sr 2.44
4 Cu 0.0000 0.0000 0.5000  2 Sr 2.44
5 Cu 0.5000 0.0000 0.0000  2 Sr 2.44

Output
**Energy of formation from the pure elements**: 8.73 eV/f.u.
**VASP energy**: -15.31 eV/cell
**Calculated volume**: 23.32 Å³ per atom


Record 6
A plane-wave DFT calculation with PBE was carried out for a geometry-optimized MgTe2Pd structure.

abc: 6.2438 6.2438 7.7957
angles: 66.39 66.39 90.00
Closest atoms and distances in Å follow each position.
Positions (direct):
1 Mg 0.5000 0.5000 0.0000  4 Te 2.83
2 Mg 0.2500 0.7500 0.5000  4 Te 2.83
3 Te 0.6531 0.1250 0.2500  2 Pd 2.63, 2 Mg 2.83
4 Te 0.0969 0.6250 0.2500  2 Pd 2.63, 2 Mg 2.83
5 Te 0.3750 0.3469 0.7500  2 Pd 2.63, 2 Mg 2.83
6 Te 0.8750 0.9031 0.7500  2 Pd 2.63, 2 Mg 2.83
7 Pd 0.0000 0.0000 0.0000  4 Te 2.63
8 Pd 0.7500 0.2500 0.5000  4 Te 2.63

Output
**Formation energy (no corrections)**: -35 kJ/mol of atoms
**VASP energy**: -29.07 eV/cell
**Calculated volume**: 31.31 Å³ per atom


Record 7
A plane-wave DFT calculation with PBE was carried out for a geometry-optimized Sc2TiV2 structure.

abc: 6.4954 6.4954 4.4230
angles: 90.00 90.00 90.00
Closest atoms and distances in Å follow each position.
Positions (direct):
1 Sc 0.1679 0.6679 0.5000  6 V 2.87-2.96, 1 Sc 3.09
2 Sc 0.6679 0.8321 0.5000  6 V 2.87-2.96, 1 Sc 3.09
3 Sc 0.8321 0.3321 0.5000  6 V 2.87-2.96, 1 Sc 3.09
4 Sc 0.3321 0.1679 0.5000  6 V 2.87-2.96, 1 Sc 3.09
5 V 0.3667 0.8667 0.0000  1 V 2.45, 2 Ti 2.53
6 V 0.8667 0.6333 0.0000  1 V 2.45, 2 Ti 2.53
7 V 0.6333 0.1333 0.0000  1 V 2.45, 2 Ti 2.53
8 V 0.1333 0.3667 0.0000  1 V 2.45, 2 Ti 2.53
9 Ti 0.0000 0.0000 0.0000  4 V 2.53
10 Ti 0.5000 0.5000 0.0000  4 V 2.53

Output
**Energy of formation from the pure elements**: 1.60 eV/f.u.
**VASP energy**: -74.38 eV/cell
**Calculated volume**: 18.66 Å³ per atom


Record 8
A plane-wave DFT calculation with PBE was carried out for a geometry-optimized La4SmY7 structure.

abc: 5.9705 12.0361 6.7838
angles: 84.73 63.89 75.64
Closest atoms and distances in Å follow each position.
Positions (direct):
1 La 0.6373 0.2253 0.5001  7 Y 3.41-3.75, 1 La 3.76
2 La 0.3627 0.7747 0.4999  7 Y 3.41-3.75, 1 La 3.76
3 La 0.6981 0.7104 0.8933  4 Y 3.33-3.69
4 La 0.3019 0.2896 0.1067  4 Y 3.33-3.69
5 Sm 0.0000 0.0000 0.0000  4 Y 2.99-3.18
6 Y 0.7946 0.9168 0.4940  1 Sm 3.18, 4 Y 3.21-3.56, 3 La 3.41-3.46
7 Y 0.2054 0.0832 0.5060  1 Sm 3.18, 4 Y 3.21-3.56, 3 La 3.41-3.46
8 Y 0.0328 0.6295 0.3050  4 Y 3.44-3.52, 3 La 3.62-3.69
9 Y 0.9672 0.3705 0.6950  4 Y 3.44-3.52, 3 La 3.62-3.69
10 Y 0.3524 0.5150 0.7803  2 La 3.33-3.51, 4 Y 3.43-3.46
11 Y 0.5000 0.0000 0.0000  2 Sm 2.99, 2 Y 3.21
12 Y 0.6476 0.4850 0.2197  2 La 3.33-3.51, 4 Y 3.43-3.46

Output
**Energy of formation from the pure elements**: 3.14 eV/f.u.
**VASP energy**: -66.54 eV/cell
**Calculated volume**: 35.33 Å³ per atom


- What is the formula in the seventh record?
  Sc2TiV2